CeCrCo4 | PBE | relaxed

Lattice parameters (Å, degrees): 4.911 4.911 4.911 60.00 60.00 60.00
Sites, in units of the cell vectors:
Ce 0.000 0.000 0.000
Cr 0.250 0.250 0.250
Co 0.128 0.624 0.624
Co 0.624 0.128 0.624
Co 0.624 0.624 0.128
Co 0.624 0.624 0.624

For the magnetization, the calculation gives 8.04 μB/f.u. As for the symmetry: F-43m (216). The value obtained for the energy of formation is 51.3 meV per atom. As for the density of states at the Fermi level: 11.9 states/eV/f.u. The volume is 84 Å³/cell. The total energy comes out at -43.673 eV for the cell shown.